(1)
Below is a geometry-optimized RbSiBi2As structure, with properties calculated at the PBE-GGA level.

Properties
* calculated density: 5.9 g/cm³
* formation energy (no corrections): 2.03 eV/f.u.
* size of the total moment: 0.0 μB per cell
* space group: P4/mmm (123)
* E: -3.35 eV per atom

Cell lengths 5.7687, 5.7687, 5.1372 Å; angles 90.00, 90.00, 90.00 degrees
With the nearest neighbours (Å) after each atom.
Positions (direct):
Rb  0.0000  0.0000  0.0000  8 Bi 3.86, 4 Si 4.08
Si  0.5000  0.5000  0.0000  2 As 2.57
Bi  0.0000  0.5000  0.5000  2 As 2.88
Bi  0.5000  0.0000  0.5000  2 As 2.88
As  0.5000  0.5000  0.5000  2 Si 2.57



(2)
Below is a geometry-optimized ZnAuCl structure, with properties calculated at the PBE-GGA level.

Properties
* calculated density: 6.7 g/cm³
* energy above the most stable polymorph in this dataset: 0.000 eV/atom
* formation energy (no corrections): -1.59 eV/f.u.
* size of the total moment: 0.0 μB per cell
* space group: Pmmn (59)
* E: -2.66 eV per atom

Cell lengths 3.6527, 4.0843, 9.9044 Å; angles 90.00, 90.00, 90.00 degrees
With the nearest neighbours (Å) after each atom.
Positions (direct):
Zn  0.2500  0.2500  0.1978  2 Cl 2.35
Zn  0.7500  0.7500  0.8022  2 Cl 2.35
Au  0.2500  0.7500  0.0133  4 Zn 2.74-2.78, 4 Au 2.75
Au  0.7500  0.2500  0.9867  4 Zn 2.74-2.78, 4 Au 2.75
Cl  0.2500  0.7500  0.6537  2 Zn 2.35
Cl  0.7500  0.2500  0.3463  2 Zn 2.35



(3)
Below is a geometry-optimized LiCaLuMg structure, with properties calculated at the PBE-GGA level.

Properties
* calculated density: 3.7 g/cm³
* size of the total moment: 0.0 μB per cell
* space group: F-43m (216)
* E: -2.44 eV per atom

Cell lengths 5.4042, 5.4042, 5.4042 Å; angles 60.00, 60.00, 60.00 degrees
With the nearest neighbours (Å) after each atom.
Positions (direct):
Li  0.0000  0.0000  0.0000  4 Ca 3.31, 4 Lu 3.31
Ca  0.2500  0.2500  0.2500  4 Li 3.31, 4 Mg 3.31
Lu  0.7500  0.7500  0.7500  4 Mg 3.31, 4 Li 3.31
Mg  0.5000  0.5000  0.5000  4 Lu 3.31, 4 Ca 3.31



(4)
Below is a geometry-optimized LiHg2I6 structure, with properties calculated at the PBE-GGA level.

Properties
* calculated density: 5.4 g/cm³
* energy above the most stable polymorph in this dataset: 0.000 eV/atom
* formation energy (no corrections): -3.34 eV/f.u.
* size of the total moment: 0.0 μB per cell
* space group: C2/c (15)
* E: -1.68 eV per atom

Cell lengths 9.6311, 9.6311, 7.9645 Å; angles 99.58, 99.58, 82.93 degrees
With the nearest neighbours (Å) after each atom.
Positions (direct):
Li  0.0982  0.9018  0.7500  6 I 2.87-3.11
Li  0.9018  0.0982  0.2500  6 I 2.87-3.11
Hg  0.2232  0.3995  0.6880  4 I 2.80-2.91
Hg  0.3995  0.2232  0.1880  4 I 2.80-2.91
Hg  0.6005  0.7768  0.8120  4 I 2.80-2.91
Hg  0.7768  0.6005  0.3120  4 I 2.80-2.91
I  0.0318  0.1887  0.6081  1 Hg 2.83, 2 Li 2.95-3.11
I  0.1156  0.6427  0.8901  1 Hg 2.80, 1 Li 2.87
I  0.1887  0.0318  0.1081  1 Hg 2.83, 2 Li 2.95-3.11
I  0.2814  0.4817  0.3731  2 Hg 2.88-2.91
I  0.3573  0.8844  0.6099  1 Hg 2.80, 1 Li 2.87
I  0.4817  0.2814  0.8731  2 Hg 2.88-2.91
I  0.5183  0.7186  0.1269  2 Hg 2.88-2.91
I  0.6427  0.1156  0.3901  1 Hg 2.80, 1 Li 2.87
I  0.7186  0.5183  0.6269  2 Hg 2.88-2.91
I  0.8113  0.9682  0.8919  1 Hg 2.83, 2 Li 2.95-3.11
I  0.8844  0.3573  0.1099  1 Hg 2.80, 1 Li 2.87
I  0.9682  0.8113  0.3919  1 Hg 2.83, 2 Li 2.95-3.11



(5)
Below is a geometry-optimized Na4Hf2N structure, with properties calculated at the PBE-GGA level.

Properties
* calculated density: 4.0 g/cm³
* formation energy (no corrections): 5.09 eV/f.u.
* size of the total moment: 0.3 μB per cell
* space group: I4/mmm (139)
* E: -4.06 eV per atom

Cell lengths 11.2423, 11.2423, 11.2423 Å; angles 158.44, 158.44, 30.68 degrees
With the nearest neighbours (Å) after each atom.
Positions (direct):
Na  0.0000  0.5000  0.5000  2 N 2.10
Na  0.1139  0.1139  0.0000  1 N 2.47
Na  0.5000  0.0000  0.5000  2 N 2.10
Na  0.8861  0.8861  0.0000  1 N 2.47
Hf  0.2652  0.2652  0.0000  4 Hf 3.05, 1 Na 3.28
Hf  0.7348  0.7348  0.0000  4 Hf 3.05, 1 Na 3.28
N  0.0000  0.0000  0.0000  4 Na 2.10



(6)
Below is a geometry-optimized Al6Ir5Pt structure, with properties calculated at the PBE-GGA level.

Properties
* calculated density: 13.1 g/cm³
* size of the total moment: 0.0 μB per cell
* space group: Cmmm (65)
* E: -6.98 eV per atom

Cell lengths 6.8460, 6.8460, 5.9418 Å; angles 90.00, 90.00, 143.14 degrees
With the nearest neighbours (Å) after each atom.
Positions (direct):
Al  0.0000  0.0000  0.2492  6 Ir 2.61-2.63, 2 Pt 2.63
Al  0.0000  0.0000  0.7508  6 Ir 2.61-2.63, 2 Pt 2.63
Al  0.3318  0.6682  0.2498  7 Ir 2.61-2.64, 1 Pt 2.64
Al  0.3318  0.6682  0.7502  7 Ir 2.61-2.64, 1 Pt 2.64
Al  0.6682  0.3318  0.2498  7 Ir 2.61-2.64, 1 Pt 2.64
Al  0.6682  0.3318  0.7502  7 Ir 2.61-2.64, 1 Pt 2.64
Ir  0.1657  0.8343  0.0000  8 Al 2.61-2.62
Ir  0.1665  0.8335  0.5000  8 Al 2.61-2.63
Ir  0.5000  0.5000  0.0000  8 Al 2.62-2.64
Ir  0.8335  0.1665  0.5000  8 Al 2.61-2.63
Ir  0.8343  0.1657  0.0000  8 Al 2.61-2.62
Pt  0.5000  0.5000  0.5000  8 Al 2.63-2.64



Please write out number 2 again, unchanged.
Below is a geometry-optimized ZnAuCl structure, with properties calculated at the PBE-GGA level.

Properties
* calculated density: 6.7 g/cm³
* energy above the most stable polymorph in this dataset: 0.000 eV/atom
* formation energy (no corrections): -1.59 eV/f.u.
* size of the total moment: 0.0 μB per cell
* space group: Pmmn (59)
* E: -2.66 eV per atom

Cell lengths 3.6527, 4.0843, 9.9044 Å; angles 90.00, 90.00, 90.00 degrees
With the nearest neighbours (Å) after each atom.
Positions (direct):
Zn  0.2500  0.2500  0.1978  2 Cl 2.35
Zn  0.7500  0.7500  0.8022  2 Cl 2.35
Au  0.2500  0.7500  0.0133  4 Zn 2.74-2.78, 4 Au 2.75
Au  0.7500  0.2500  0.9867  4 Zn 2.74-2.78, 4 Au 2.75
Cl  0.2500  0.7500  0.6537  2 Zn 2.35
Cl  0.7500  0.2500  0.3463  2 Zn 2.35